## BiRuI2O (GGA-PBEsol)

Data for crystalline BiRuI2O at its relaxed geometry.

Geometry as CIF:
```
data_BiRuI2O
_space_group_name_H-M_alt 'P 1'
_space_group_IT_number 1
_cell_length_a 5.624
_cell_length_b 5.624
_cell_length_c 3.690
_cell_angle_alpha 90.00
_cell_angle_beta 90.00
_cell_angle_gamma 90.00
loop_
_space_group_symop_operation_xyz
'x,y,z'
loop_
_atom_site_label
_atom_site_fract_x
_atom_site_fract_y
_atom_site_fract_z
Bi1 0.000 0.000 0.000
Ru1 0.500 0.500 0.500
I1 0.000 0.500 0.500
I2 0.500 0.000 0.500
O1 0.500 0.500 0.000
```

Output
N(E_F)	0.8138	states/eV per atom
space group	P4/mmm (123)
uncorrected formation energy	-0.12	eV/atom

=====

## La2AlGeF (GGA-PBEsol)

Data for crystalline La2AlGeF at its relaxed geometry.

Geometry as CIF:
```
data_La2AlGeF
_space_group_name_H-M_alt 'P 1'
_space_group_IT_number 1
_cell_length_a 5.658
_cell_length_b 5.658
_cell_length_c 4.500
_cell_angle_alpha 90.00
_cell_angle_beta 90.00
_cell_angle_gamma 90.00
loop_
_space_group_symop_operation_xyz
'x,y,z'
loop_
_atom_site_label
_atom_site_fract_x
_atom_site_fract_y
_atom_site_fract_z
La1 0.000 0.500 0.000
La2 0.500 0.000 0.000
Al1 0.000 0.000 0.000
Ge1 0.000 0.000 0.500
F1 0.500 0.500 0.500
```

Output
N(E_F)	0.7266	states/eV per atom
space group	P4/mmm (123)
uncorrected formation energy	-0.34	eV/atom

=====

## Sr4CaFe (GGA-PBEsol)

Data for crystalline Sr4CaFe at its relaxed geometry.

Geometry as CIF:
```
data_Sr4CaFe
_space_group_name_H-M_alt 'P 1'
_space_group_IT_number 1
_cell_length_a 7.218
_cell_length_b 7.218
_cell_length_c 7.218
_cell_angle_alpha 60.00
_cell_angle_beta 60.00
_cell_angle_gamma 60.00
loop_
_space_group_symop_operation_xyz
'x,y,z'
loop_
_atom_site_label
_atom_site_fract_x
_atom_site_fract_y
_atom_site_fract_z
Sr1 0.124 0.124 0.124
Sr2 0.124 0.124 0.627
Sr3 0.124 0.627 0.124
Sr4 0.627 0.124 0.124
Ca1 0.500 0.500 0.500
Fe1 0.750 0.750 0.750
```

Output
calculated formation energy	852	meV/atom
N(E_F)	2.2938	states/eV per atom
space group	F-43m (216)

=====

## BH3 (GGA-PBEsol)

Data for crystalline BH3 at its relaxed geometry.

Geometry as CIF:
```
data_BH3
_space_group_name_H-M_alt 'P 1'
_space_group_IT_number 1
_cell_length_a 4.084
_cell_length_b 5.900
_cell_length_c 5.907
_cell_angle_alpha 90.00
_cell_angle_beta 116.08
_cell_angle_gamma 90.00
loop_
_space_group_symop_operation_xyz
'x,y,z'
loop_
_atom_site_label
_atom_site_fract_x
_atom_site_fract_y
_atom_site_fract_z
B1 0.147 0.044 0.150
B2 0.147 0.456 0.650
B3 0.853 0.544 0.350
B4 0.853 0.956 0.850
H1 0.094 0.515 0.827
H2 0.094 0.985 0.327
H3 0.154 0.637 0.520
H4 0.154 0.863 0.020
H5 0.402 0.163 0.180
H6 0.402 0.337 0.680
H7 0.598 0.663 0.320
H8 0.598 0.837 0.820
H9 0.846 0.137 0.980
H10 0.846 0.363 0.480
H11 0.906 0.015 0.673
H12 0.906 0.485 0.173
```

Output
N(E_F)	0.0000	states/eV per atom
final energy	-4.220	eV per atom
space group	P2_1/c (14)

=====

## ZrTcW2 (GGA-PBEsol)

Data for crystalline ZrTcW2 at its relaxed geometry.

Geometry as CIF:
```
data_ZrTcW2
_space_group_name_H-M_alt 'P 1'
_space_group_IT_number 1
_cell_length_a 3.181
_cell_length_b 4.566
_cell_length_c 8.985
_cell_angle_alpha 90.00
_cell_angle_beta 90.00
_cell_angle_gamma 90.00
loop_
_space_group_symop_operation_xyz
'x,y,z'
loop_
_atom_site_label
_atom_site_fract_x
_atom_site_fract_y
_atom_site_fract_z
Zr1 0.000 0.000 0.000
Zr2 0.500 0.500 0.500
Tc1 0.000 0.500 0.247
Tc2 0.500 0.000 0.747
W1 0.000 0.000 0.504
W2 0.000 0.500 0.760
W3 0.500 0.000 0.260
W4 0.500 0.500 0.004
```

Output
calculated formation energy	3	meV/atom
N(E_F)	0.5162	states/eV per atom
space group	Imm2 (44)
excess energy over the best structure of this formula in the dataset	0	meV/atom

=====

## YTlP2 (GGA-PBEsol)

Data for crystalline YTlP2 at its relaxed geometry.

Geometry as CIF:
```
data_YTlP2
_space_group_name_H-M_alt 'P 1'
_space_group_IT_number 1
_cell_length_a 3.953
_cell_length_b 3.953
_cell_length_c 5.724
_cell_angle_alpha 90.00
_cell_angle_beta 90.00
_cell_angle_gamma 90.00
loop_
_space_group_symop_operation_xyz
'x,y,z'
loop_
_atom_site_label
_atom_site_fract_x
_atom_site_fract_y
_atom_site_fract_z
Y1 0.000 0.000 0.000
Tl1 0.500 0.500 0.500
P1 0.000 0.000 0.500
P2 0.500 0.500 0.000
```

Output
calculated formation energy	-554	meV/atom
N(E_F)	0.5215	states/eV per atom
space group	P4/mmm (123)
excess energy over the best structure of this formula in the dataset	72	meV/atom

=====

## NaAs2SBr (GGA-PBEsol)

Data for crystalline NaAs2SBr at its relaxed geometry.

Geometry as CIF:
```
data_NaAs2SBr
_space_group_name_H-M_alt 'P 1'
_space_group_IT_number 1
_cell_length_a 5.122
_cell_length_b 5.122
_cell_length_c 4.762
_cell_angle_alpha 90.00
_cell_angle_beta 90.00
_cell_angle_gamma 90.00
loop_
_space_group_symop_operation_xyz
'x,y,z'
loop_
_atom_site_label
_atom_site_fract_x
_atom_site_fract_y
_atom_site_fract_z
Na1 0.000 0.000 0.000
As1 0.000 0.500 0.000
As2 0.500 0.000 0.000
S1 0.500 0.500 0.500
Br1 0.000 0.000 0.500
```

Output
N(E_F)	1.0404	states/eV per atom
space group	P4/mmm (123)
uncorrected formation energy	1.08	eV/atom

=====

## KCr2Te (GGA-PBEsol)

Data for crystalline KCr2Te at its relaxed geometry.

Geometry as CIF:
```
data_KCr2Te
_space_group_name_H-M_alt 'P 1'
_space_group_IT_number 1
_cell_length_a 4.574
_cell_length_b 4.574
_cell_length_c 4.528
_cell_angle_alpha 90.00
_cell_angle_beta 90.00
_cell_angle_gamma 90.00
loop_
_space_group_symop_operation_xyz
'x,y,z'
loop_
_atom_site_label
_atom_site_fract_x
_atom_site_fract_y
_atom_site_fract_z
K1 0.000 0.000 0.000
Cr1 0.000 0.500 0.500
Cr2 0.500 0.000 0.500
Te1 0.500 0.500 0.000
```

Output
N(E_F)	0.8813	states/eV per atom
space group	P4/mmm (123)
uncorrected formation energy	0.87	eV/atom

=====

Which value of N(E_F) does entry 3 give? 2.2938 states/eV per atom